A | GdPaCo2 | GGA-PBE | optimized geometry

a b c (Å): 3.726 3.726 6.967
angles (deg): 74.49 74.49 60.00
Each line ends with the local moment (μB).
Atoms (fractional coordinates):
1 Gd 0.500 0.500 0.500  7.01
2 Pa 0.000 0.000 0.000  0.03
3 Co 0.741 0.741 0.778  -0.03
4 Co 0.259 0.259 0.222  -0.03

B | GdPaCo2 | GGA-PBE | optimized geometry

a b c (Å): 3.294 4.739 4.739
angles (deg): 90.00 90.00 90.00
Each line ends with the local moment (μB).
Atoms (fractional coordinates):
1 Gd 0.500 0.000 0.000  7.02
2 Pa 0.500 0.500 0.500  0.06
3 Co 0.000 0.000 0.500  -0.11
4 Co 0.000 0.500 0.000  -0.11

Which one sits at the bottom of the stability order? B does.

A | PmGdCo | GGA-PBE | optimized geometry

a b c (Å): 3.423 3.423 6.926
angles (deg): 104.31 104.31 90.00
Each line ends with the local moment (μB).
Atoms (fractional coordinates):
1 Gd 0.042 0.042 0.083  7.11
2 Co 0.664 0.664 0.328  -0.89
3 Pm 0.295 0.295 0.589  0.07

B | PmGdCo | GGA-PBE | optimized geometry

a b c (Å): 4.763 4.763 4.763
angles (deg): 60.00 60.00 60.00
Each line ends with the local moment (μB).
Atoms (fractional coordinates):
1 Gd 0.000 0.000 0.000  7.12
2 Co 0.250 0.250 0.250  -0.19
3 Pm 0.500 0.500 0.500  0.09

Which one sits at the bottom of the stability order? B does.

A | PrGdCo | GGA-PBE | optimized geometry

a b c (Å): 3.974 3.974 6.315
angles (deg): 90.00 90.00 120.00
Each line ends with the local moment (μB).
Atoms (fractional coordinates):
1 Pr 0.000 0.000 0.099  0.02
2 Gd 0.333 0.667 0.562  7.07
3 Co 0.667 0.333 0.339  -0.04

B | PrGdCo | GGA-PBE | optimized geometry

a b c (Å): 4.801 4.801 4.801
angles (deg): 60.00 60.00 60.00
Each line ends with the local moment (μB).
Atoms (fractional coordinates):
1 Pr 0.500 0.500 0.500  0.08
2 Gd 0.000 0.000 0.000  7.12
3 Co 0.250 0.250 0.250  -0.23

Which one sits at the bottom of the stability order? B does.

A | PrGd2Co | GGA-PBE | optimized geometry

a b c (Å): 3.451 3.451 9.073
angles (deg): 90.00 90.00 90.00
Each line ends with the local moment (μB).
Atoms (fractional coordinates):
1 Pr 0.500 0.500 0.500  -0.06
2 Gd 0.000 0.000 0.821  7.09
3 Gd 0.000 0.000 0.179  7.09
4 Co 0.500 0.500 0.000  -0.99

B | PrGd2Co | GGA-PBE | optimized geometry

a b c (Å): 3.778 3.778 9.589
angles (deg): 78.64 78.64 60.00
Each line ends with the local moment (μB).
Atoms (fractional coordinates):
1 Pr 0.500 0.500 0.500  -0.04
2 Gd 0.722 0.722 0.834  7.04
3 Gd 0.278 0.278 0.166  7.04
4 Co 0.000 0.000 0.000  -0.16

Which one sits at the bottom of the stability order? B does.

A | GdPu2Co | GGA-PBE | optimized geometry

a b c (Å): 3.439 3.439 8.011
angles (deg): 90.00 90.00 90.00
Each line ends with the local moment (μB).
Atoms (fractional coordinates):
1 Gd 0.500 0.500 0.500  7.30
2 Co 0.500 0.500 0.000  -0.93
3 Pu 0.000 0.000 0.811  5.34
4 Pu 0.000 0.000 0.189  5.34

B | GdPu2Co | GGA-PBE | optimized geometry

a b c (Å): 5.100 5.100 4.973
angles (deg): 59.15 59.15 60.00
Each line ends with the local moment (μB).
Atoms (fractional coordinates):
1 Gd 0.500 0.500 0.500  7.50
2 Co 0.000 0.000 0.000  -1.32
3 Pu 0.754 0.754 0.739  5.44
4 Pu 0.246 0.246 0.261  5.44

Which one sits at the bottom of the stability order? B does.

A | Gd2CoRh | GGA-PBE | optimized geometry

a b c (Å): 4.844 4.844 4.844
angles (deg): 60.00 60.00 60.00
Each line ends with the local moment (μB).
Atoms (fractional coordinates):
1 Co 0.000 0.000 0.000  -0.93
2 Gd 0.250 0.250 0.250  7.10
3 Gd 0.750 0.750 0.750  7.10
4 Rh 0.500 0.500 0.500  -0.24

B | Gd2CoRh | GGA-PBE | optimized geometry

a b c (Å): 3.405 3.405 6.897
angles (deg): 90.00 90.00 90.00
Each line ends with the local moment (μB).
Atoms (fractional coordinates):
1 Co 0.500 0.500 0.000  0.69
2 Gd 0.000 0.000 0.756  6.93
3 Gd 0.000 0.000 0.244  6.93
4 Rh 0.500 0.500 0.500  -0.05

Which one sits at the bottom of the stability order? B does.

A | Gd2CoSi | GGA-PBE | optimized geometry

a b c (Å): 4.909 4.909 4.909
angles (deg): 60.00 60.00 60.00
Each line ends with the local moment (μB).
Atoms (fractional coordinates):
1 Si 0.500 0.500 0.500  0.02
2 Gd 0.250 0.250 0.250  6.86
3 Gd 0.750 0.750 0.750  6.86
4 Co 0.000 0.000 0.000  1.04

B | Gd2CoSi | GGA-PBE | optimized geometry

a b c (Å): 3.612 4.826 4.826
angles (deg): 90.00 90.00 90.00
Each line ends with the local moment (μB).
Atoms (fractional coordinates):
1 Si 0.500 0.500 0.500  0.10
2 Gd 0.000 0.000 0.500  -7.10
3 Gd 0.000 0.500 0.000  -7.10
4 Co 0.500 0.000 0.000  1.36

Which one sits at the bottom of the stability order? A does.

A | Gd2CoSn | GGA-PBE | optimized geometry

a b c (Å): 3.723 3.723 9.779
angles (deg): 79.03 79.03 60.00
Each line ends with the local moment (μB).
Atoms (fractional coordinates):
1 Gd 0.112 0.112 0.663  7.04
2 Gd 0.888 0.888 0.337  7.04
3 Co 0.500 0.500 0.500  -0.08
4 Sn 0.000 0.000 0.000  0.01

B | Gd2CoSn | GGA-PBE | optimized geometry

a b c (Å): 5.127 5.127 5.127
angles (deg): 60.00 60.00 60.00
Each line ends with the local moment (μB).
Atoms (fractional coordinates):
1 Gd 0.250 0.250 0.250  -7.18
2 Gd 0.750 0.750 0.750  -7.18
3 Co 0.000 0.000 0.000  1.51
4 Sn 0.500 0.500 0.500  0.14

Which one sits at the bottom of the stability order? A does.

A | SrGd2Co | GGA-PBE | optimized geometry

a b c (Å): 3.489 3.489 9.815
angles (deg): 90.00 90.00 90.00
Each line ends with the local moment (μB).
Atoms (fractional coordinates):
1 Sr 0.500 0.500 0.500  0.01
2 Gd 0.000 0.000 0.838  7.11
3 Gd 0.000 0.000 0.162  7.11
4 Co 0.500 0.500 0.000  -0.86

B | SrGd2Co | GGA-PBE | optimized geometry

a b c (Å): 3.985 3.985 9.951
angles (deg): 78.45 78.45 60.00
Each line ends with the local moment (μB).
Atoms (fractional coordinates):
1 Sr 0.500 0.500 0.500  0.01
2 Gd 0.715 0.715 0.855  7.04
3 Gd 0.285 0.285 0.145  7.04
4 Co 0.000 0.000 0.000  -0.12

Which one sits at the bottom of the stability order? A does.

A | GdTh2Co | GGA-PBE | optimized geometry

a b c (Å): 3.749 3.749 10.276
angles (deg): 79.49 79.49 60.00
Each line ends with the local moment (μB).
Atoms (fractional coordinates):
1 Gd 0.000 0.000 0.000  7.33
2 Co 0.500 0.500 0.500  0.02
3 Th 0.113 0.113 0.660  0.02
4 Th 0.887 0.887 0.340  0.02

B | GdTh2Co | GGA-PBE | optimized geometry

a b c (Å): 3.519 3.519 8.625
angles (deg): 90.00 90.00 90.00
Each line ends with the local moment (μB).
Atoms (fractional coordinates):
1 Gd 0.500 0.500 0.500  7.27
2 Co 0.500 0.500 0.000  0.21
3 Th 0.000 0.000 0.812  0.05
4 Th 0.000 0.000 0.188  0.05

Which one sits at the bottom of the stability order? A does.

A | GdThCo | GGA-PBE | optimized geometry

a b c (Å): 4.779 4.779 4.779
angles (deg): 60.00 60.00 60.00
Each line ends with the local moment (μB).
Atoms (fractional coordinates):
1 Gd 0.000 0.000 0.000  7.10
2 Co 0.250 0.250 0.250  -0.19
3 Th 0.500 0.500 0.500  0.12

B | GdThCo | GGA-PBE | optimized geometry

a b c (Å): 3.870 3.870 6.246
angles (deg): 90.00 90.00 120.00
Each line ends with the local moment (μB).
Atoms (fractional coordinates):
1 Gd 0.000 0.000 0.083  7.11
2 Co 0.667 0.333 0.345  -0.03
3 Th 0.333 0.667 0.572  0.09

C | GdThCo | GGA-PBE | optimized geometry

a b c (Å): 3.511 3.511 6.348
angles (deg): 106.05 106.05 90.00
Each line ends with the local moment (μB).
Atoms (fractional coordinates):
1 Gd 0.018 0.018 0.036  7.21
2 Co 0.684 0.684 0.369  0.16
3 Th 0.298 0.298 0.595  0.09

Which one sits at the bottom of the stability order? A does.

A | GdYCo | GGA-PBE | optimized geometry

a b c (Å): 3.387 3.387 6.819
angles (deg): 104.38 104.38 90.00
Each line ends with the local moment (μB).
Atoms (fractional coordinates):
1 Y 0.039 0.039 0.078  0.06
2 Gd 0.294 0.294 0.589  7.11
3 Co 0.667 0.667 0.333  -0.92

B | GdYCo | GGA-PBE | optimized geometry

a b c (Å): 3.882 3.882 6.239
angles (deg): 90.00 90.00 120.00
Each line ends with the local moment (μB).
Atoms (fractional coordinates):
1 Y 0.000 0.000 0.099  0.02
2 Gd 0.333 0.667 0.565  7.07
3 Co 0.667 0.333 0.335  -0.05

C | GdYCo | GGA-PBE | optimized geometry

a b c (Å): 4.715 4.715 4.715
angles (deg): 60.00 60.00 60.00
Each line ends with the local moment (μB).
Atoms (fractional coordinates):
1 Y 0.500 0.500 0.500  0.11
2 Gd 0.000 0.000 0.000  7.16
3 Co 0.250 0.250 0.250  -0.14

Which one sits at the bottom of the stability order? C does.

A | Gd2ZnCo | GGA-PBE | optimized geometry

a b c (Å): 3.450 3.450 7.199
angles (deg): 90.00 90.00 90.00
Each line ends with the local moment (μB).
Atoms (fractional coordinates):
1 Zn 0.500 0.500 0.500  0.01
2 Gd 0.000 0.000 0.770  7.13
3 Gd 0.000 0.000 0.230  7.13
4 Co 0.500 0.500 0.000  -0.98

B | Gd2ZnCo | GGA-PBE | optimized geometry

a b c (Å): 3.812 3.812 9.582
angles (deg): 78.53 78.53 60.00
Each line ends with the local moment (μB).
Atoms (fractional coordinates):
1 Zn 0.000 0.000 0.000  -0.03
2 Gd 0.114 0.114 0.659  -7.05
3 Gd 0.886 0.886 0.341  -7.05
4 Co 0.500 0.500 0.500  0.10

C | Gd2ZnCo | GGA-PBE | optimized geometry

a b c (Å): 4.938 4.938 4.938
angles (deg): 60.00 60.00 60.00
Each line ends with the local moment (μB).
Atoms (fractional coordinates):
1 Zn 0.500 0.500 0.500  0.00
2 Gd 0.250 0.250 0.250  7.12
3 Gd 0.750 0.750 0.750  7.12
4 Co 0.000 0.000 0.000  -0.91

Which one sits at the bottom of the stability order? B does.

A | GdZrCo2 | GGA-PBE | optimized geometry

a b c (Å): 3.243 3.243 6.687
angles (deg): 90.00 90.00 90.00
Each line ends with the local moment (μB).
Atoms (fractional coordinates):
1 Gd 0.500 0.500 0.500  7.09
2 Co 0.000 0.000 0.782  -0.42
3 Co 0.000 0.000 0.218  -0.42
4 Zr 0.500 0.500 0.000  0.12

B | GdZrCo2 | GGA-PBE | optimized geometry

a b c (Å): 4.646 4.646 4.646
angles (deg): 60.00 60.00 60.00
Each line ends with the local moment (μB).
Atoms (fractional coordinates):
1 Gd 0.000 0.000 0.000  7.12
2 Co 0.250 0.250 0.250  -0.91
3 Co 0.750 0.750 0.750  -0.91
4 Zr 0.500 0.500 0.500  0.19

Which one sits at the bottom of the stability order? B does.